[1]
24
Lattice="2.8883 0.0000 0.0000 -1.4442 2.5014 0.0000 0.0000 0.0000 34.1577" Properties=species:S:1:pos:R:3 comment="PBE Na8B11C5, relaxed" relative_energy_ev_per_atom=0.045 spacegroup="P3m1, No. 156" formation_energy_ev_per_atom=0.1464 pbc="T T T"
Na 0.0000 0.0000 34.0293
Na 0.0000 0.0000 4.2321
Na 0.0000 0.0000 8.5961
Na 0.0000 0.0000 12.8415
Na 0.0000 0.0000 17.1847
Na 0.0000 0.0000 21.4081
Na 0.0000 0.0000 25.6081
Na 0.0000 0.0000 29.8098
C 0.0000 1.6676 10.7132
C 0.0000 1.6676 19.3138
C 1.4442 0.8338 23.5104
C 0.0000 1.6676 27.7080
C 1.4442 0.8338 31.9075
B 0.0000 1.6676 2.0432
B 1.4442 0.8338 6.4209
B 0.0000 1.6676 6.4208
B 1.4442 0.8338 2.0434
B 1.4442 0.8338 15.0139
B 0.0000 1.6676 15.0139
B 1.4442 0.8338 10.7140
B 0.0000 1.6676 23.5099
B 1.4442 0.8338 19.3108
B 0.0000 1.6676 31.9097
B 1.4442 0.8338 27.7082

***

[2]
16
Lattice="3.5123 0.0000 0.0000 -1.7561 5.8773 0.0000 0.0000 0.0000 12.2073" Properties=species:S:1:pos:R:3 comment="PBE Ce2PaOsC4, relaxed" spacegroup="Cmcm, No. 63" formation_energy_ev_per_atom=0.0031 pbc="T T T"
Ce 0.0000 4.2888 6.6341
Ce 1.7561 1.5885 0.5304
Ce 1.7561 1.5885 5.5732
Ce 0.0000 4.2888 11.6768
Pa 0.0000 1.2757 9.1554
Pa 1.7561 4.6016 3.0518
Os 1.7561 4.1447 9.1554
Os 0.0000 1.7326 3.0518
C 0.0000 3.2152 1.7148
C 1.7561 2.6621 7.8184
C 1.7561 2.6621 10.4925
C 0.0000 3.2152 4.3889
C 0.0000 0.0000 6.1036
C 0.0000 0.0000 0.0000
C 0.0000 5.2506 9.1554
C 1.7561 0.6267 3.0518

***

[3]
5
Lattice="-1.7292 1.7292 11.0773 1.7292 -1.7292 11.0773 1.7292 1.7292 -11.0773" Properties=species:S:1:pos:R:3 comment="PBE La3Re2, relaxed" relative_energy_ev_per_atom=0.279 spacegroup="I4/mmm, No. 139" formation_energy_ev_per_atom=0.4316 pbc="T T T"
La 0.0000 0.0000 14.7937
La 0.0000 0.0000 7.3609
La 0.0000 0.0000 11.0773
Re 0.0000 0.0000 20.1736
Re 0.0000 0.0000 1.9810

***

Number 1: uncorrected energy -5.275 eV per atom. Number 2: uncorrected energy -8.683 eV per atom. Number 3: uncorrected energy -7.504 eV per atom.